(A)
KNa2Sb2 | GGA-PBE | relaxed

The calculation puts the magnetic moment at 0.00 μB per formula unit. Its volume is 346.8 Å³/cell.

Cell: 5.147 5.147 13.095 Å, 90.00 90.00 90.00°
Space group I4/mmm (No. 139)
Unique sites:
K 0.000 0.000 0.000 [2 per cell]
Na 0.000 0.500 0.250 [4 per cell]
Sb 0.000 0.000 0.394 [4 per cell]



(B)
KNa2Sb2 | GGA-PBE | relaxed

The calculation puts the magnetic moment at 0.00 μB per formula unit. Its volume is 383.9 Å³/cell.

Cell: 12.110 5.164 6.160 Å, 90.00 94.75 90.00°
Space group C2/m (No. 12)
Unique sites:
K 0.000 0.000 0.000 [2 per cell]
Na 0.166 0.500 0.372 [4 per cell]
Sb 0.210 0.500 0.883 [4 per cell]



Which structure is the least stable? The one labeled (B).



(A)
K2NaSb2 | GGA-PBE | relaxed

The calculation puts the magnetic moment at 0.23 μB per formula unit. Its volume is 771.4 Å³/cell.

Cell: 11.793 6.884 9.688 Å, 90.00 101.21 90.00°
Space group C2/c (No. 15)
Unique sites:
K 0.151 0.146 0.150 [8 per cell]
Na 0.000 0.402 0.750 [4 per cell]
Sb 0.144 0.346 0.504 [8 per cell]



(B)
K2NaSb2 | GGA-PBE | relaxed

The calculation puts the magnetic moment at 0.00 μB per formula unit. Its volume is 377.8 Å³/cell.

Cell: 9.576 9.576 4.120 Å, 90.00 90.00 90.00°
Space group P4/mbm (No. 127)
Unique sites:
K 0.183 0.317 0.000 [4 per cell]
Na 0.000 0.000 0.000 [2 per cell]
Sb 0.107 0.607 0.500 [4 per cell]



Which structure is the least stable? The one labeled (B).